Entry 1:
This record from the Alexandria database describes a geometry-optimized NaTlIBr structure. The functional is PBE.

* space-group type: No. 8
* formation energy without anion corrections: -1.0542 eV per atom
* N(E_F): 0.00 states/eV/atom
* total energy: -2.7812 eV/atom
* distance to the lowest polymorph of the same formula: 0 meV per atom

```
NaTlIBr
1.0
3.9314 -2.2676 0.0000
3.9314 2.2676 0.0000
-2.6192 0.0000 8.0640
Na Tl I Br
1 1 1 1
direct
0.0000 0.0000 0.0000
0.1586 0.1586 0.4732
0.5854 0.5854 0.7549
0.3980 0.3980 0.1933
```

---

Entry 2:
This record from the Alexandria database describes a geometry-optimized Th2Ga8Cu structure. The functional is PBE.

* energy of formation from the pure elements: -0.3709 eV per atom
* space-group type: No. 123
* N(E_F): 0.59 states/eV/atom
* total energy: -4.2937 eV/atom

```
Th2Ga8Cu
1.0
4.4268 0.0000 0.0000
0.0000 4.4268 0.0000
0.0000 0.0000 11.4185
Th Ga Cu
2 8 1
direct
0.0000 0.0000 0.1919
0.0000 0.0000 0.8081
0.0000 0.5000 0.0000
0.0000 0.5000 0.3822
0.0000 0.5000 0.6178
0.5000 0.0000 0.0000
0.5000 0.0000 0.3822
0.5000 0.0000 0.6178
0.5000 0.5000 0.1969
0.5000 0.5000 0.8031
0.0000 0.0000 0.5000
```

---

Entry 3:
This record from the Alexandria database describes a geometry-optimized TmSi2RuPt structure. The functional is PBE.

* space-group type: No. 119
* formation energy without anion corrections: -1.0112 eV per atom
* N(E_F): 0.40 states/eV/atom
* total energy: -7.1380 eV/atom

```
TmSi2RuPt
1.0
-2.0355 2.0355 4.9795
2.0355 -2.0355 4.9795
2.0355 2.0355 -4.9795
Tm Si Ru Pt
1 2 1 1
direct
0.0000 0.0000 0.0000
0.3805 0.3805 0.0000
0.6195 0.6195 0.0000
0.7500 0.2500 0.5000
0.2500 0.7500 0.5000
```

---

Entry 4:
This record from the Alexandria database describes a geometry-optimized GaWSeN2 structure. The functional is PBE.

* space-group type: No. 123
* formation energy without anion corrections: 1.7262 eV per atom
* N(E_F): 1.31 states/eV/atom
* total energy: -5.4969 eV/atom
* distance to the lowest polymorph of the same formula: 1483 meV per atom

```
GaWSeN2
1.0
3.7882 0.0000 0.0000
0.0000 3.7882 0.0000
0.0000 0.0000 5.0370
Ga W Se N
1 1 1 2
direct
0.0000 0.0000 0.0000
0.5000 0.5000 0.5000
0.0000 0.0000 0.5000
0.0000 0.5000 0.0000
0.5000 0.0000 0.0000
```

---

Entry 5:
This record from the Alexandria database describes a geometry-optimized MoAs2RuI structure. The functional is PBE.

* space-group type: No. 123
* formation energy without anion corrections: 0.8967 eV per atom
* N(E_F): 1.10 states/eV/atom
* total energy: -5.2946 eV/atom

```
MoAs2RuI
1.0
4.8429 0.0000 0.0000
0.0000 4.8429 0.0000
0.0000 0.0000 4.9956
Mo As Ru I
1 2 1 1
direct
0.0000 0.0000 0.0000
0.0000 0.5000 0.0000
0.5000 0.0000 0.0000
0.0000 0.0000 0.5000
0.5000 0.5000 0.5000
```

---

Entry 6:
This record from the Alexandria database describes a geometry-optimized BiMo3Pt structure. The functional is PBE.

* energy of formation from the pure elements: 1.5179 eV per atom
* space-group type: No. 221
* N(E_F): 1.23 states/eV/atom
* total energy: -6.9652 eV/atom
* distance to the lowest polymorph of the same formula: 0 meV per atom

```
BiMo3Pt
1.0
4.8598 0.0000 0.0000
0.0000 4.8598 0.0000
0.0000 0.0000 4.8598
Bi Mo Pt
1 3 1
direct
0.0000 0.0000 0.0000
0.0000 0.5000 0.5000
0.5000 0.0000 0.5000
0.5000 0.5000 0.0000
0.5000 0.5000 0.5000
```